A plane-wave DFT calculation with PBE was carried out for a relaxed ZrRe2Ag crystal.

The structure in POSCAR format:
```
ZrRe2Ag
1.0
3.444 0.000 0.000
0.000 3.444 0.000
0.000 0.000 5.793
Ag Re Zr
1 2 1
Direct
0.500 0.500 0.750
0.000 0.000 0.988
0.000 0.000 0.512
0.500 0.500 0.250
```

Values from the calculation:
The space-group type is No. 123. Its crystal system is tetragonal. As for the offset from the most stable computed form: 414 meV/atom. For the formation energy, the calculation gives 531 meV/atom.

---

A plane-wave DFT calculation with PBE was carried out for a relaxed Rb3UTi2Te6 crystal.

The structure in POSCAR format:
```
Rb3UTi2Te6
1.0
-0.103 7.322 -1.329
-6.011 -4.151 -1.423
-0.789 0.333 8.866
Rb U Ti Te
3 1 2 6
Direct
0.160 0.840 0.500
0.840 0.160 0.500
0.500 0.500 0.500
0.000 0.000 0.000
0.328 0.672 0.000
0.672 0.328 0.000
0.935 0.583 0.808
0.707 0.707 0.184
0.065 0.417 0.192
0.583 0.935 0.808
0.293 0.293 0.816
0.417 0.065 0.192
```

Values from the calculation:
The space-group type is No. 12. Its crystal system is monoclinic.

---

A plane-wave DFT calculation with PBE was carried out for a relaxed HfAlBrO2 crystal.

The structure in POSCAR format:
```
HfAlBrO2
1.0
4.110 0.000 0.000
0.000 5.243 0.000
0.000 0.000 4.110
O Hf Al Br
2 1 1 1
Direct
0.000 0.000 0.500
0.500 0.000 0.000
0.000 0.500 0.000
0.500 0.500 0.500
0.000 0.000 0.000
```

Values from the calculation:
The space-group type is No. 123. Its crystal system is tetragonal.

---

A plane-wave DFT calculation with PBE was carried out for a relaxed LiTbAl2Ag4 crystal.

The structure in POSCAR format:
```
LiTbAl2Ag4
1.0
4.551 0.000 0.000
2.275 3.941 0.000
2.275 1.314 8.220
Li Tb Al Ag
1 1 2 4
Direct
0.500 0.500 0.500
0.000 0.000 0.000
0.754 0.754 0.738
0.246 0.246 0.262
0.396 0.396 0.811
0.869 0.869 0.393
0.131 0.131 0.607
0.604 0.604 0.189
```

Values from the calculation:
The space-group type is No. 166. Its crystal system is trigonal. For the formation energy, the calculation gives -258 meV/atom.

---

A plane-wave DFT calculation with PBE was carried out for a relaxed CaCrCdCo2 crystal.

The structure in POSCAR format:
```
CaCrCdCo2
1.0
-2.383 1.997 2.996
0.435 -4.002 3.013
3.581 1.687 1.724
Cr Ca Co Cd
1 1 2 1
Direct
0.000 0.000 0.000
0.000 0.500 0.000
0.000 0.000 0.500
0.500 0.000 0.000
0.500 0.500 0.500
```

Values from the calculation:
The space-group type is No. 123. Its crystal system is tetragonal. For the formation energy, the calculation gives 971 meV/atom.

---

A plane-wave DFT calculation with PBE was carried out for a relaxed SrHfCuBr2 crystal.

The structure in POSCAR format:
```
SrHfCuBr2
1.0
5.142 0.000 0.000
0.000 7.253 0.000
0.000 0.000 5.142
Sr Hf Cu Br
1 1 1 2
Direct
0.000 0.500 0.000
0.000 0.000 0.000
0.500 0.500 0.500
0.000 0.000 0.500
0.500 0.000 0.000
```

Values from the calculation:
The space-group type is No. 123. Its crystal system is tetragonal. As for the offset from the most stable computed form: 0 meV/atom.

---

A plane-wave DFT calculation with PBE was carried out for a relaxed BeC crystal.

The structure in POSCAR format:
```
BeC
1.0
2.595 0.000 0.000
0.000 2.595 0.000
0.000 0.000 2.476
Be C
1 1
Direct
0.000 0.000 0.000
0.500 0.500 0.000
```

Values from the calculation:
The space-group type is No. 123. Its crystal system is tetragonal. As for the offset from the most stable computed form: 1158 meV/atom. For the formation energy, the calculation gives 1477 meV/atom.

---

A plane-wave DFT calculation with PBE was carried out for a relaxed Mn4Te8Pb crystal.

The structure in POSCAR format:
```
Mn4Te8Pb
1.0
-7.177 -1.211 2.838
-1.017 -1.259 7.643
-3.566 6.813 4.641
Mn Te Pb
4 8 1
Direct
0.000 0.500 0.000
0.500 0.500 0.000
0.500 0.000 0.000
0.000 0.000 0.000
0.734 0.234 0.798
0.766 0.266 0.202
0.266 0.766 0.202
0.766 0.766 0.202
0.732 0.732 0.804
0.268 0.268 0.196
0.234 0.234 0.798
0.234 0.734 0.798
0.500 0.500 0.500
```

Values from the calculation:
The space-group type is No. 166. Its crystal system is trigonal.

---

A plane-wave DFT calculation with PBE was carried out for a relaxed Y2Mg2Te crystal.

The structure in POSCAR format:
```
Y2Mg2Te
1.0
7.704 0.000 0.000
0.000 7.704 0.000
0.000 0.000 4.664
Y Mg Te
4 4 2
Direct
0.161 0.661 0.500
0.661 0.839 0.500
0.839 0.339 0.500
0.339 0.161 0.500
0.368 0.868 0.000
0.868 0.632 0.000
0.632 0.132 0.000
0.132 0.368 0.000
0.000 0.000 0.000
0.500 0.500 0.000
```

Values from the calculation:
The space-group type is No. 127. Its crystal system is tetragonal. As for the offset from the most stable computed form: 61 meV/atom.

---

A plane-wave DFT calculation with PBE was carried out for a relaxed CsKPS3 crystal.

The structure in POSCAR format:
```
CsKPS3
1.0
7.277 -0.288 -1.798
3.155 6.564 -1.798
1.073 0.645 8.554
Cs K P S
2 2 2 6
Direct
0.662 0.662 0.909
0.338 0.338 0.091
0.223 0.777 0.500
0.777 0.223 0.500
0.980 0.980 0.865
0.020 0.020 0.135
0.121 0.121 0.776
0.107 0.682 0.805
0.682 0.107 0.805
0.318 0.893 0.195
0.893 0.318 0.195
0.879 0.879 0.224
```

Values from the calculation:
The space-group type is No. 12. Its crystal system is monoclinic.

---

no.,density of states at the Fermi level (states/eV/f.u.),final energy (hartree per atom)
1,3.4,-0.3139
2,8.7,-0.1798
3,3.3,-0.1645
4,3.6,-0.1263
5,7.4,-0.1609
6,2.0,-0.1403
7,0.4,-0.1837
8,5.8,-0.1922
9,3.3,-0.1517
10,0.0,-0.1538